RbPdPb3 | PBE | relaxed

Calculated values
* ΔE to the lowest computed polymorph: 1.637 eV/atom
* DFT formation energy: 1.45 eV/atom
* N(E_F): 5.00 states/eV per cell
* DFT total energy: -10.040 eV/cell
* space-group type: Pm-3m (221)

```
RbPdPb3
1.0
6.036 0.000 0.000
0.000 6.036 0.000
0.000 0.000 6.036
Rb Pd Pb
1 1 3
direct
0.000 0.000 0.000
0.500 0.500 0.500
0.000 0.000 0.500
0.000 0.500 0.000
0.500 0.000 0.000
```